Entry 1:
Computed, not measured: TiNbV2 after structural relaxation at the PBE level of DFT.

Cell: 4.453 4.453 3.146 Å, 90.00 90.00 90.00°
Space group P4/mmm (No. 123)
Inequivalent atoms, fractional coordinates:
Ti1 0.000 0.000 0.000 [1 per cell]
Nb1 0.500 0.500 0.000 [1 per cell]
V1 0.000 0.500 0.500 [2 per cell]

Output
crystal system: tetragonal
ΔE_f: 67 meV/atom
E above lowest polymorph: 0.00 kJ/mol of atoms
energy: -8.984 eV/atom
magnetic moment: 0.0 μB/f.u.

Entry 2:
Computed, not measured: Y2NiN after structural relaxation at the PBE level of DFT.

Cell: 6.479 6.479 6.479 Å, 90.00 90.00 90.00°
Space group Fm-3m (No. 225)
Inequivalent atoms, fractional coordinates:
Y1 0.250 0.250 0.250 [8 per cell]
Ni1 0.000 0.000 0.000 [4 per cell]
N1 0.000 0.000 0.500 [4 per cell]

Output
crystal system: cubic
E above lowest polymorph: 67.38 kJ/mol of atoms
formation energy (no corrections): -0.098 eV per atom
energy: -6.857 eV/atom
magnetic moment: 0.0 μB/f.u.

Entry 3:
Computed, not measured: In6Sn3Pb2 after structural relaxation at the PBE level of DFT.

Cell: 9.0378 9.0378 4.6665 Å, 90.00 90.00 120.00°
Space group P-62m (No. 189)
Inequivalent atoms, fractional coordinates:
In1 0.0000 0.2160 0.0000 [3 per cell]
In2 0.0000 0.7569 0.5000 [3 per cell]
Sn1 0.0000 0.5407 0.0000 [3 per cell]
Pb1 0.3333 0.6667 0.5000 [2 per cell]

Output
crystal system: hexagonal
ΔE_f: 102 meV/atom
energy: -3.158 eV/atom
magnetic moment: 0.0 μB/f.u.

Entry 4:
Computed, not measured: MgMnCo2 after structural relaxation at the PBE level of DFT.

Cell: 4.173 4.173 5.982 Å, 90.00 90.00 90.00°
Space group I-4m2 (No. 119)
Inequivalent atoms, fractional coordinates:
Mg1 0.000 0.000 0.000 [2 per cell]
Mn1 0.000 0.500 0.750 [2 per cell]
Co1 0.000 0.000 0.500 [2 per cell]
Co2 0.000 0.500 0.250 [2 per cell]

Output
crystal system: tetragonal
ΔE_f: 189 meV/atom
energy: -6.055 eV/atom
magnetic moment: 6.3 μB/f.u.

Entry 5:
Computed, not measured: TbThNiIr after structural relaxation at the PBE level of DFT.

Cell: 6.992 6.992 6.992 Å, 90.00 90.00 90.00°
Space group F-43m (No. 216)
Inequivalent atoms, fractional coordinates:
Tb1 0.000 0.000 0.000 [4 per cell]
Th1 0.000 0.000 0.500 [4 per cell]
Ni1 0.250 0.250 0.750 [4 per cell]
Ir1 0.250 0.250 0.250 [4 per cell]

Output
crystal system: cubic
ΔE_f: -572 meV/atom
E above lowest polymorph: 11.29 kJ/mol of atoms
energy: -7.245 eV/atom
magnetic moment: 0.0 μB/f.u.

Entry 6:
Computed, not measured: Rb2Hg2P after structural relaxation at the PBE level of DFT.

Cell: 7.001 7.001 8.161 Å, 90.00 90.00 90.00°
Space group I4/mmm (No. 139)
Inequivalent atoms, fractional coordinates:
Rb1 0.000 0.500 0.250 [4 per cell]
Hg1 0.000 0.000 0.182 [4 per cell]
P1 0.000 0.000 0.500 [2 per cell]

Output
crystal system: tetragonal
ΔE_f: -95 meV/atom
E above lowest polymorph: 0.00 kJ/mol of atoms
energy: -1.685 eV/atom
magnetic moment: 0.0 μB/f.u.

Entry 7:
Computed, not measured: CdSn2Au3 after structural relaxation at the PBE level of DFT.

Cell: 13.811 5.767 7.243 Å, 90.00 105.17 90.00°
Space group C2/c (No. 15)
Inequivalent atoms, fractional coordinates:
Cd1 0.000 0.005 0.250 [4 per cell]
Sn1 0.165 0.499 0.583 [8 per cell]
Au1 0.000 0.495 0.750 [4 per cell]
Au2 0.168 0.001 0.083 [8 per cell]

Output
crystal system: monoclinic
ΔE_f: -108 meV/atom
E above lowest polymorph: 4.67 kJ/mol of atoms
energy: -3.233 eV/atom
magnetic moment: 0.0 μB/f.u.

Entry 8:
Computed, not measured: SiTc2S after structural relaxation at the PBE level of DFT.

Cell: 5.341 5.341 10.485 Å, 90.00 90.00 90.00°
Space group I-42d (No. 122)
Inequivalent atoms, fractional coordinates:
Si1 0.000 0.000 0.000 [4 per cell]
Tc1 0.232 0.250 0.625 [8 per cell]
S1 0.000 0.000 0.500 [4 per cell]

Output
crystal system: tetragonal
E above lowest polymorph: 33.22 kJ/mol of atoms
formation energy (no corrections): 0.243 eV per atom
energy: -7.328 eV/atom
magnetic moment: 0.0 μB/f.u.

Entry 9:
Computed, not measured: ZnCrTe2 after structural relaxation at the PBE level of DFT.

Cell: 4.0582 4.0582 21.4743 Å, 90.00 90.00 120.00°
Space group R3m (No. 160, hexagonal axes)
Inequivalent atoms, fractional coordinates:
Zn1 0.0000 0.0000 0.0000 [3 per cell]
Cr1 0.0000 0.0000 0.7350 [3 per cell]
Te1 0.0000 0.0000 0.2776 [3 per cell]
Te2 0.0000 0.0000 0.4635 [3 per cell]

Output
crystal system: trigonal
formation energy (no corrections): 0.030 eV per atom
energy: -4.265 eV/atom
magnetic moment: 3.0 μB/f.u.

Entry 10:
Computed, not measured: Nd2Ni3As4Rh after structural relaxation at the PBE level of DFT.

Cell: 4.243 4.243 9.608 Å, 90.00 90.00 90.00°
Space group P-4m2 (No. 115)
Inequivalent atoms, fractional coordinates:
Nd1 0.000 0.500 0.247 [2 per cell]
Ni1 0.000 0.500 0.884 [2 per cell]
Ni2 0.500 0.500 0.500 [1 per cell]
As1 0.000 0.000 0.000 [1 per cell]
As2 0.000 0.500 0.636 [2 per cell]
As3 0.500 0.500 0.000 [1 per cell]
Rh1 0.000 0.000 0.500 [1 per cell]

Output
crystal system: tetragonal
ΔE_f: -846 meV/atom
energy: -6.129 eV/atom
magnetic moment: 0.0 μB/f.u.

Entry 11:
Computed, not measured: ErAlPb after structural relaxation at the PBE level of DFT.

Cell: 4.4086 4.4086 30.5380 Å, 90.00 90.00 120.00°
Space group R-3m (No. 166, hexagonal axes)
Inequivalent atoms, fractional coordinates:
Er1 0.0000 0.0000 0.0879 [6 per cell]
Al1 0.0000 0.0000 0.1854 [6 per cell]
Pb1 0.0000 0.0000 0.3597 [6 per cell]

Output
crystal system: trigonal
ΔE_f: -6 meV/atom
energy: -4.010 eV/atom
magnetic moment: 0.0 μB/f.u.

Entry 12:
Computed, not measured: LiLuHg after structural relaxation at the PBE level of DFT.

Cell: 4.6523 4.6523 3.5172 Å, 90.00 90.00 120.00°
Space group P-6m2 (No. 187)
Inequivalent atoms, fractional coordinates:
Li1 0.0000 0.0000 0.0000 [1 per cell]
Lu1 0.6667 0.3333 0.5000 [1 per cell]
Hg1 0.3333 0.6667 0.0000 [1 per cell]

Output
crystal system: hexagonal
ΔE_f: -263 meV/atom
E above lowest polymorph: 0.00 kJ/mol of atoms
energy: -2.508 eV/atom
magnetic moment: 0.0 μB/f.u.